A relaxed Rb2PaVO6 crystal. Source: Alexandria via LeMat-Bulk, functional GGA+U.

Unit cell a=5.749 b=5.749 c=9.493 alpha=90.00 beta=90.00 gamma=90.00
Space group I4mm (No. 107)
Asymmetric unit:
Rb  0.000  0.500  0.000 [4 per cell]
Pa  0.000  0.000  0.242 [2 per cell]
V  0.000  0.000  0.780 [2 per cell]
O  0.000  0.000  0.448 [2 per cell]
O  0.000  0.000  0.964 [2 per cell]
O  0.228  0.228  0.738 [8 per cell]

The calculated total energy comes out at -7.28 eV/atom. The value obtained for the density of states at the Fermi level is 0.000 states/eV per atom. For the theoretical density, the calculation gives 5.81 g/cm³.